ScTl2Cl after structural relaxation, computed with GGA-PBE.

Structure (POSCAR):
```
ScTl2Cl
1.0
-5.497 -5.737 -0.203
5.227 -0.591 1.384
-0.957 -1.270 3.060
Tl Cl Sc
2 1 1
Cartesian
0.000 0.000 0.000 Tl
-3.227 -3.504 1.429 Tl
2.135 -0.930 2.222 Cl
-0.135 -3.164 0.591 Sc
```

Summary:
symmetry	No. 65
total moment	0.00	μB per cell
V	25.3	A^3/atom
uncorrected formation energy	-1.46	eV/f.u.



YZn7Ag5 after structural relaxation, computed with GGA-PBE.

Structure (POSCAR):
```
YZn7Ag5
1.0
5.048 0.000 2.073
2.539 6.489 1.001
0.059 -0.017 7.039
Zn Ag Y
7 5 1
Cartesian
4.506 5.019 3.392 Zn
4.174 2.308 4.201 Zn
2.102 1.114 2.064 Zn
5.956 2.348 7.044 Zn
3.456 4.205 5.950 Zn
6.685 4.261 5.269 Zn
3.143 1.442 6.711 Zn
5.114 0.098 5.535 Ag
6.288 3.178 2.677 Ag
2.568 0.098 4.490 Ag
5.623 5.145 7.854 Ag
3.741 3.178 1.632 Ag
2.611 6.436 8.007 Y
```

Summary:
symmetry	No. 44
total moment	0.00	μB per cell
calculated formation energy	-0.0852	eV/atom
V	17.7	A^3/atom



FeSiTe2N after structural relaxation, computed with GGA-PBE.

Structure (POSCAR):
```
FeSiTe2N
1.0
5.278 0.000 0.000
0.000 5.278 0.000
0.000 0.000 3.405
Fe Si N Te
1 1 1 2
Cartesian
0.000 0.000 0.000 Fe
2.639 2.639 1.703 Si
0.000 0.000 1.703 N
2.639 0.000 0.000 Te
0.000 2.639 0.000 Te
```

Summary:
symmetry	No. 123
total moment	0.00	μB per cell
V	19.0	A^3/atom
uncorrected formation energy	2.01	eV/f.u.



CeNd after structural relaxation, computed with GGA-PBE.

Structure (POSCAR):
```
CeNd
1.0
4.060 0.000 0.000
0.000 4.060 0.000
0.000 0.000 4.060
Ce Nd
1 1
Cartesian
0.000 0.000 0.000 Ce
2.030 2.030 2.030 Nd
```

Summary:
symmetry	No. 221
total moment	1.99	μB per cell
calculated formation energy	0.2738	eV/atom
V	33.5	A^3/atom



BaHgOsO6 after structural relaxation, computed with GGA-PBE.

Structure (POSCAR):
```
BaHgOsO6
1.0
6.036 0.046 -0.093
3.057 5.203 0.092
-0.067 0.113 5.303
O Os Hg Ba
6 1 1 1
Cartesian
3.566 3.391 1.878 O
7.191 2.133 1.731 O
2.226 2.504 4.102 O
5.377 5.272 3.571 O
4.654 1.506 3.424 O
3.216 0.790 1.201 O
3.071 1.848 2.651 Os
6.204 3.656 2.651 Hg
0.531 0.457 5.302 Ba
```

Summary:
symmetry	No. 5
total moment	0.00	μB per cell
V	18.4	A^3/atom
uncorrected formation energy	-11.23	eV/f.u.



LiMgGa14 after structural relaxation, computed with GGA-PBE.

Structure (POSCAR):
```
LiMgGa14
1.0
6.028 0.281 0.000
0.306 6.027 0.000
0.000 0.000 8.128
Ga Li Mg
14 1 1
Cartesian
3.779 0.956 6.146 Ga
0.817 0.813 2.021 Ga
2.375 2.365 0.000 Ga
2.528 5.378 0.000 Ga
3.779 0.956 1.981 Ga
5.542 5.519 0.000 Ga
2.528 5.379 4.064 Ga
3.934 3.917 2.021 Ga
3.934 3.917 6.107 Ga
0.817 0.813 6.107 Ga
5.389 2.506 4.064 Ga
0.972 3.775 1.981 Ga
0.972 3.775 6.146 Ga
5.389 2.506 0.000 Ga
2.375 2.365 4.064 Li
5.542 5.519 4.064 Mg
```

Summary:
symmetry	No. 65
total moment	0.00	μB per cell
calculated formation energy	-0.0494	eV/atom
V	18.4	A^3/atom



Mg4BeRu after structural relaxation, computed with GGA-PBE.

Structure (POSCAR):
```
Mg4BeRu
1.0
0.000 3.770 3.770
3.770 0.000 3.770
3.770 3.770 0.000
Mg Ru Be
4 1 1
Cartesian
4.709 4.709 2.831 Mg
2.831 2.831 2.831 Mg
4.709 2.831 4.709 Mg
2.831 4.709 4.709 Mg
5.655 5.655 5.655 Ru
0.000 0.000 0.000 Be
```

Summary:
symmetry	No. 216
total moment	0.00	μB per cell
calculated formation energy	0.6238	eV/atom
V	17.9	A^3/atom



BeHCl after structural relaxation, computed with GGA-PBE.

Structure (POSCAR):
```
BeHCl
1.0
-4.296 2.067 3.500
3.133 -2.942 5.583
1.147 5.565 -1.879
Be H Cl
4 4 4
Cartesian
2.101 1.881 2.673 Be
0.416 -0.367 4.518 Be
-0.432 5.057 2.686 Be
-2.116 2.809 4.531 Be
1.178 1.695 1.544 H
-0.565 -0.366 5.620 H
-1.194 2.995 5.660 H
0.549 5.056 1.584 H
-1.794 6.538 2.578 Cl
1.366 1.409 4.489 Cl
1.778 -1.848 4.626 Cl
-1.382 3.282 2.715 Cl
```

Summary:
symmetry	No. 14
total moment	0.00	μB per cell
V	17.3	A^3/atom
electronic total energy	-3.716	eV per atom



AlFe2Ir after structural relaxation, computed with GGA-PBE.

Structure (POSCAR):
```
AlFe2Ir
1.0
8.489 -0.003 -0.002
8.065 2.648 -0.002
8.065 1.289 2.314
Ir Fe Al
1 2 1
Cartesian
6.155 0.984 0.578 Ir
0.028 0.004 0.003 Fe
12.281 1.963 1.153 Fe
18.464 2.951 1.733 Al
```

Summary:
symmetry	No. 166
total moment	3.81	μB per cell
calculated formation energy	-0.0629	eV/atom
V	13.0	A^3/atom



Nb2NiPd after structural relaxation, computed with GGA-PBE.

Structure (POSCAR):
```
Nb2NiPd
1.0
-2.347 -0.474 1.462
-0.722 -2.624 0.681
3.982 -0.259 9.002
Nb Pd Ni
2 1 1
Cartesian
-1.789 -2.900 4.263 Nb
2.701 -0.457 6.882 Nb
0.456 -1.679 5.573 Pd
0.000 0.000 0.000 Ni
```

Summary:
symmetry	No. 166
total moment	0.00	μB per cell
calculated formation energy	0.3021	eV/atom
V	16.6	A^3/atom



LiBe2Fe after structural relaxation, computed with GGA-PBE.

Structure (POSCAR):
```
LiBe2Fe
1.0
3.790 0.000 0.000
1.895 3.282 0.000
1.895 1.094 3.095
Be Li Fe
2 1 1
Cartesian
0.000 0.000 0.000 Be
1.895 1.094 0.774 Be
5.685 3.282 2.321 Li
3.790 2.188 1.547 Fe
```

Summary:
symmetry	No. 216
total moment	2.10	μB per cell
calculated formation energy	0.2063	eV/atom
V	9.6	A^3/atom



Pm3Er6Tl after structural relaxation, computed with GGA-PBE.

Structure (POSCAR):
```
Pm3Er6Tl
1.0
9.245 0.000 0.000
0.000 8.501 -0.588
0.000 -2.471 8.156
Er Pm Tl
12 6 2
Cartesian
0.906 5.681 5.380 Er
6.991 3.573 1.153 Er
2.368 2.458 6.415 Er
1.477 5.155 2.079 Er
2.368 0.326 3.741 Er
2.625 7.715 0.039 Er
6.991 5.705 3.827 Er
7.248 -1.684 7.529 Er
0.906 2.054 0.829 Er
5.529 3.977 6.739 Er
5.529 0.349 2.187 Er
6.099 0.876 5.488 Er
8.747 2.745 3.999 Pm
8.705 -0.550 2.628 Pm
4.082 2.684 0.051 Pm
4.082 6.580 4.940 Pm
4.125 3.285 3.569 Pm
8.705 3.347 7.517 Pm
0.039 0.246 5.991 Tl
4.662 5.785 1.577 Tl
```

Summary:
symmetry	No. 36
total moment	0.00	μB per cell
calculated formation energy	0.0547	eV/atom
V	31.4	A^3/atom



PaPRu2 after structural relaxation, computed with GGA-PBE.

Structure (POSCAR):
```
PaPRu2
1.0
3.990 0.000 0.000
1.995 3.455 0.000
1.995 1.152 4.943
Pa P Ru
1 1 2
Cartesian
0.000 0.000 0.000 Pa
3.990 2.304 2.472 P
1.995 1.152 1.690 Ru
5.985 3.455 3.253 Ru
```

Summary:
symmetry	No. 166
total moment	0.00	μB per cell
calculated formation energy	-0.5825	eV/atom
V	17.0	A^3/atom



Er5ThS6 after structural relaxation, computed with GGA-PBE.

Structure (POSCAR):
```
Er5ThS6
1.0
6.638 -0.119 -1.256
-3.600 5.578 -1.256
0.126 0.226 6.756
S Th Er
6 1 5
Cartesian
0.594 5.203 3.156 S
-0.945 2.438 1.087 S
2.286 4.109 -0.143 S
4.109 3.247 3.156 S
2.570 0.482 1.087 S
0.877 1.576 4.386 S
0.000 0.000 0.000 Th
1.582 2.843 2.121 Er
-0.184 3.678 -1.256 Er
-1.857 4.756 2.121 Er
3.223 1.782 -1.256 Er
5.021 0.929 2.121 Er
```

Summary:
symmetry	No. 12
total moment	0.00	μB per cell
V	20.9	A^3/atom
uncorrected formation energy	-23.03	eV/f.u.



La3PmPr6Sm2 after structural relaxation, computed with GGA-PBE.

Structure (POSCAR):
```
La3PmPr6Sm2
1.0
6.424 -0.003 0.003
-3.213 5.563 0.003
-1.090 -1.887 12.084
Pr Sm La Pm
6 2 3 1
Cartesian
2.136 3.698 2.984 Pr
-0.017 3.682 9.109 Pr
2.138 -0.009 2.981 Pr
3.198 1.825 9.109 Pr
-1.076 1.848 2.981 Pr
-0.015 -0.025 9.106 Pr
-0.001 3.708 0.003 Sm
3.212 1.852 0.003 Sm
4.271 -0.018 6.045 La
-2.150 3.691 6.045 La
1.061 1.836 6.045 La
0.000 0.000 0.000 Pm
```

Summary:
symmetry	No. 12
total moment	0.00	μB per cell
calculated formation energy	0.0149	eV/atom
V	36.0	A^3/atom



LiSc8C4 after structural relaxation, computed with GGA-PBE.

Structure (POSCAR):
```
LiSc8C4
1.0
-0.906 3.017 -1.162
1.138 -0.988 -8.306
-8.261 -1.248 -1.653
C Sc Li
4 8 1
Cartesian
-0.769 -0.094 -4.496 C
-6.738 1.049 -6.579 C
-4.488 1.225 -3.023 C
-3.017 -0.270 -8.053 C
-5.261 -0.282 -1.483 Sc
-2.781 -0.267 -3.377 Sc
-2.244 1.238 -9.593 Sc
-6.998 -1.142 -7.214 Sc
-0.509 2.097 -3.861 Sc
-1.851 0.747 -6.322 Sc
-4.725 1.222 -7.698 Sc
-5.656 0.209 -4.753 Sc
-8.453 0.347 -2.212 Li
```

Summary:
symmetry	No. 12
total moment	0.00	μB per cell
calculated formation energy	-0.3629	eV/atom
V	17.8	A^3/atom



Dy3HoAg2 after structural relaxation, computed with GGA-PBE.

Structure (POSCAR):
```
Dy3HoAg2
1.0
-3.412 1.999 -5.819
-5.932 -3.852 2.155
2.247 6.535 5.181
Ag Ho Dy
4 2 6
Cartesian
-4.673 0.262 0.288 Ag
-4.017 1.690 4.647 Ag
-3.080 2.992 -3.130 Ag
-2.424 4.421 1.229 Ag
-2.966 -1.926 1.077 Ho
0.000 0.000 0.000 Ho
-6.155 -1.889 -1.294 Dy
-1.542 5.013 -1.627 Dy
-5.555 -0.331 3.143 Dy
-2.589 1.595 2.066 Dy
-4.508 3.087 -0.550 Dy
-3.189 0.037 -2.371 Dy
```

Summary:
symmetry	No. 72
total moment	0.00	μB per cell
calculated formation energy	0.0332	eV/atom
V	30.2	A^3/atom



LaPm3Ag2 after structural relaxation, computed with GGA-PBE.

Structure (POSCAR):
```
LaPm3Ag2
1.0
3.726 0.000 0.000
0.000 3.726 0.000
0.000 0.000 12.650
Ag Pm La
2 3 1
Cartesian
1.863 1.863 10.772 Ag
1.863 1.863 1.878 Ag
0.000 0.000 0.000 Pm
0.000 0.000 3.729 Pm
0.000 0.000 8.921 Pm
1.863 1.863 6.325 La
```

Summary:
symmetry	No. 123
total moment	0.00	μB per cell
calculated formation energy	-0.1630	eV/atom
V	29.3	A^3/atom



ZrRe3Rh after structural relaxation, computed with GGA-PBE.

Structure (POSCAR):
```
ZrRe3Rh
1.0
4.667 0.000 0.000
0.000 4.667 0.000
0.000 0.000 4.667
Re Zr Rh
3 1 1
Cartesian
0.000 2.333 0.000 Re
0.000 0.000 2.333 Re
2.333 0.000 0.000 Re
2.333 2.333 2.333 Zr
0.000 0.000 0.000 Rh
```

Summary:
symmetry	No. 221
total moment	0.00	μB per cell
calculated formation energy	1.7174	eV/atom
V	20.3	A^3/atom



Na3MgRu after structural relaxation, computed with GGA-PBE.

Structure (POSCAR):
```
Na3MgRu
1.0
-0.878 -2.196 4.943
1.156 -4.968 -2.002
5.284 0.722 1.259
Ru Na Mg
1 3 1
Cartesian
0.000 0.000 0.000 Ru
2.642 0.361 0.630 Na
-0.439 -1.098 2.471 Na
0.578 -2.484 -1.001 Na
2.781 -3.221 2.100 Mg
```

Summary:
symmetry	No. 221
total moment	1.19	μB per cell
calculated formation energy	1.0052	eV/atom
V	32.9	A^3/atom